Record 1
{"formula": "Er3TmZr", "functional": "PBE", "state": "relaxed", "cell": [[-2.961, 1.715, 0.125], [-2.927, -8.308, -2.284], [0.446, 0.044, 9.728]], "species": ["Er", "Er", "Er", "Er", "Er", "Er", "Tm", "Tm", "Zr", "Zr"], "fractional_positions": [[0.023, 0.081, 0.461], [0.416, 0.864, 0.665], [0.628, 0.290, 0.757], [0.020, 0.073, 0.961], [0.225, 0.484, 0.053], [0.819, 0.670, 0.368], [0.418, 0.871, 0.151], [0.626, 0.283, 0.270], [0.226, 0.485, 0.572], [0.818, 0.669, 0.850]], "total_energy_ry_per_atom": -0.388, "delta_e_f_kj_per_mol_atoms": 5.6, "magmom_total_mub_per_cell": 0.00}



Record 2
{"formula": "Er2TmZr", "functional": "PBE", "state": "relaxed", "cell": [[3.406, 0.000, 0.000], [0.000, 3.121, -1.365], [0.000, -2.350, 11.618]], "species": ["Er", "Er", "Tm", "Zr"], "fractional_positions": [[0.000, 0.531, 0.016], [0.000, 0.469, 0.484], [0.500, 0.500, 0.750], [0.500, 0.500, 0.250]], "total_energy_ry_per_atom": -0.402, "delta_e_f_kj_per_mol_atoms": 6.3, "magmom_total_mub_per_cell": 0.00, "e_above_lowest_polymorph_ev_per_fu": 0.04}



Record 3
{"formula": "Er5Tm2Zr", "functional": "PBE", "state": "relaxed", "cell": [[-1.593, 1.674, 4.289], [-1.540, -6.461, 1.950], [12.719, -1.437, 5.286]], "species": ["Er", "Er", "Er", "Er", "Er", "Er", "Er", "Er", "Er", "Er", "Tm", "Tm", "Tm", "Tm", "Zr", "Zr"], "fractional_positions": [[0.000, 0.000, 0.000], [0.000, 0.500, 0.500], [0.000, 0.500, 0.756], [0.000, 0.500, 0.244], [0.000, 0.000, 0.256], [0.000, 0.000, 0.744], [0.500, 0.257, 0.880], [0.500, 0.743, 0.120], [0.500, 0.243, 0.380], [0.500, 0.757, 0.620], [0.500, 0.244, 0.621], [0.500, 0.756, 0.379], [0.500, 0.256, 0.121], [0.500, 0.744, 0.879], [0.000, 0.000, 0.500], [0.000, 0.500, 0.000]], "total_energy_ry_per_atom": -0.367, "delta_e_f_kj_per_mol_atoms": 4.3, "magmom_total_mub_per_cell": 0.00}



Record 4
{"formula": "Er6Tm3Zr", "functional": "PBE", "state": "relaxed", "cell": [[-3.888, 5.596, 6.799], [4.775, 1.638, 8.197], [1.960, 5.494, 3.413]], "species": ["Er", "Er", "Er", "Er", "Er", "Er", "Tm", "Tm", "Tm", "Zr"], "fractional_positions": [[0.938, 0.607, 0.204], [0.251, 0.938, 0.204], [0.607, 0.251, 0.204], [0.092, 0.449, 0.697], [0.762, 0.092, 0.697], [0.449, 0.762, 0.697], [0.350, 0.350, 0.949], [0.604, 0.604, 0.188], [0.096, 0.096, 0.711], [0.850, 0.850, 0.450]], "total_energy_ry_per_atom": -0.343, "delta_e_f_kj_per_mol_atoms": 25.6, "magmom_total_mub_per_cell": 4.34, "e_above_lowest_polymorph_ev_per_fu": 1.19}



Record 5
{"formula": "Er3Tm6Zr", "functional": "PBE", "state": "relaxed", "cell": [[-7.440, 6.085, -0.269], [-7.735, -1.618, 5.478], [-3.485, 3.538, 4.564]], "species": ["Er", "Er", "Er", "Tm", "Tm", "Tm", "Tm", "Tm", "Tm", "Zr"], "fractional_positions": [[0.351, 0.351, 0.948], [0.604, 0.604, 0.187], [0.097, 0.097, 0.710], [0.937, 0.607, 0.205], [0.250, 0.937, 0.205], [0.607, 0.250, 0.205], [0.092, 0.449, 0.697], [0.762, 0.092, 0.697], [0.449, 0.762, 0.697], [0.850, 0.850, 0.449]], "total_energy_ry_per_atom": -0.340, "delta_e_f_kj_per_mol_atoms": 26.5, "magmom_total_mub_per_cell": 4.18, "e_above_lowest_polymorph_ev_per_fu": 1.29}



Record 6
{"formula": "ErTm6Zr", "functional": "PBE", "state": "relaxed", "cell": [[6.217, 0.000, -0.050], [3.096, 5.388, -0.002], [3.067, 1.822, 8.624]], "species": ["Er", "Tm", "Tm", "Tm", "Tm", "Tm", "Tm", "Zr"], "fractional_positions": [[0.500, 0.500, 0.500], [0.057, 0.440, 0.813], [0.682, 0.062, 0.816], [0.567, 0.310, 0.186], [0.318, 0.938, 0.184], [0.943, 0.560, 0.187], [0.433, 0.690, 0.814], [0.000, 0.000, 0.000]], "total_energy_ry_per_atom": -0.316, "delta_e_f_kj_per_mol_atoms": 66.5, "magmom_total_mub_per_cell": 0.94, "e_above_lowest_polymorph_ev_per_fu": 3.56}